[1]
# BaReHN2

A geometry-optimized BaReHN2 structure (PBE, Alexandria).

Lattice parameters (Å, degrees): 3.9994 3.9994 4.1261 90.00 90.00 90.00
Positions (direct):
Re (0.0000, 0.0000, 0.0000)
Ba (0.5000, 0.5000, 0.5000)
N (0.5000, 0.0000, 0.0000)
H (0.0000, 0.0000, 0.5000)
N (0.0000, 0.5000, 0.0000)

Computed properties:
The total energy comes out at -7.256 eV/atom. The calculated volume is 66.0 Å³ per cell.

[2]
# Ba2HRhN

A geometry-optimized Ba2HRhN structure (PBE, Alexandria).

Lattice parameters (Å, degrees): 5.6562 5.6562 3.8131 90.00 90.00 90.00
Positions (direct):
Ba (0.5000, 0.0000, 0.0000)
Rh (0.0000, 0.0000, 0.5000)
Ba (0.0000, 0.5000, 0.0000)
H (0.5000, 0.5000, 0.5000)
N (0.0000, 0.0000, 0.0000)

Computed properties:
The total energy comes out at -4.954 eV/atom. The calculated volume is 122.0 Å³ per cell.

[3]
# BaH2SN

A geometry-optimized BaH2SN structure (PBE, Alexandria).

Lattice parameters (Å, degrees): 6.9959 6.9959 6.7476 121.23 121.23 90.00
Positions (direct):
S (0.8325, 0.3325, 0.6649)
H (0.0370, 0.5370, 0.8772)
Ba (0.7703, 0.7703, 0.5406)
N (0.0202, 0.0202, 0.0404)
N (0.5202, 0.5202, 0.0404)
H (0.5370, 0.8402, 0.8772)
H (0.3402, 0.0370, 0.8772)
S (0.3325, 0.8325, 0.6649)
Ba (0.2703, 0.2703, 0.5406)
H (0.8402, 0.3402, 0.8772)

Computed properties:
The total energy comes out at -3.999 eV/atom. The calculated volume is 224.6 Å³ per cell.

[4]
# BaHSN2

A geometry-optimized BaHSN2 structure (PBE, Alexandria).

Lattice parameters (Å, degrees): 5.6009 5.6009 6.2403 90.00 90.00 90.00
Site moments in Bohr magnetons follow the coordinates.
Positions (direct):
Ba (0.0000, 0.0000, 0.0000)  0.03
H (0.5000, 0.5000, 0.5000)  0.38
N (0.0000, 0.5000, 0.0000)  1.54
N (0.5000, 0.0000, 0.0000)  1.54
S (0.0000, 0.0000, 0.5000)  0.66

Computed properties:
As for the polymorph energy (0 for the lowest one): 726 meV/atom. The calculated volume is 195.8 Å³ per cell.

[5]
# BaHSN2

A geometry-optimized BaHSN2 structure (PBE, Alexandria).

Lattice parameters (Å, degrees): 4.7067 4.7067 3.4912 90.00 90.00 90.00
Site moments in Bohr magnetons follow the coordinates.
Positions (direct):
N (0.0000, 0.5000, 0.0000)  1.20
S (0.0000, 0.0000, 0.5000)  0.14
H (0.0000, 0.0000, 0.0000)  0.00
Ba (0.5000, 0.5000, 0.5000)  0.01
N (0.5000, 0.0000, 0.0000)  1.20

Computed properties:
As for the polymorph energy (0 for the lowest one): 0 meV/atom. The calculated volume is 77.3 Å³ per cell.

[6]
# Ba6H3SN2

A geometry-optimized Ba6H3SN2 structure (PBE, Alexandria).

Lattice parameters (Å, degrees): 7.2507 7.2507 7.3237 99.53 99.53 120.08
Positions (direct):
S (0.0000, 0.0000, 0.0000)
N (0.3338, 0.6662, 0.0000)
Ba (0.2871, 0.2871, 0.7664)
Ba (0.4429, 0.0773, 0.2282)
Ba (0.5571, 0.9227, 0.7718)
Ba (0.0773, 0.4429, 0.2282)
Ba (0.7129, 0.7129, 0.2336)
H (0.8344, 0.1656, 0.5000)
H (0.5000, 0.5000, 0.5000)
Ba (0.9227, 0.5571, 0.7718)
N (0.6662, 0.3338, 0.0000)
H (0.1656, 0.8344, 0.5000)

Computed properties:
The total energy comes out at -4.220 eV/atom. The calculated volume is 314.3 Å³ per cell.

Q: Which of these has the highest calculated volume?
A: Ba6H3SN2

Please write out number 5 again, unchanged.
# BaHSN2

A geometry-optimized BaHSN2 structure (PBE, Alexandria).

Lattice parameters (Å, degrees): 4.7067 4.7067 3.4912 90.00 90.00 90.00
Site moments in Bohr magnetons follow the coordinates.
Positions (direct):
N (0.0000, 0.5000, 0.0000)  1.20
S (0.0000, 0.0000, 0.5000)  0.14
H (0.0000, 0.0000, 0.0000)  0.00
Ba (0.5000, 0.5000, 0.5000)  0.01
N (0.5000, 0.0000, 0.0000)  1.20

Computed properties:
As for the polymorph energy (0 for the lowest one): 0 meV/atom. The calculated volume is 77.3 Å³ per cell.

Q: Number 5 is which compound?
A: BaHSN2

Q: Among the records above, which one has the lowest calculated volume?
A: BaReHN2